1.
Material: ZnNiPdAu
Method: DFT, GGA-PBE
State: relaxed

a = 6.1435 Å, b = 6.1435 Å, c = 6.1435 Å
α = 90.00°, β = 90.00°, γ = 90.00°
Space group F-43m (No. 216)
One atom of each set of equivalent atoms:
Zn (0.0000, 0.0000, 0.0000) x4
Ni (0.0000, 0.0000, 0.5000) x4
Pd (0.2500, 0.2500, 0.2500) x4
Au (0.2500, 0.2500, 0.7500) x4

- Final energy: -0.149 Ha/atom

***

2.
Material: MnHPd3
Method: DFT, GGA-PBE
State: relaxed

a = 4.9354 Å, b = 5.0675 Å, c = 5.3158 Å
α = 106.86°, β = 95.00°, γ = 98.83°
Space group P1 (No. 1)
One atom of each set of equivalent atoms:
Mn (0.0000, 0.0000, 0.0000) x1
Mn (0.1751, 0.9012, 0.2828) x1
H (0.4672, 0.7408, 0.1461) x1
H (0.9128, 0.3316, 0.6911) x1
Pd (0.2641, 0.2737, 0.7260) x1
Pd (0.3616, 0.4509, 0.2872) x1
Pd (0.4837, 0.8474, 0.8482) x1
Pd (0.6978, 0.0577, 0.4176) x1
Pd (0.8028, 0.4383, 0.0117) x1
Pd (0.9209, 0.6384, 0.5625) x1

- Energy relative to the lowest polymorph listed for this composition: 322 meV per atom

***

3.
Material: Al5GaAg
Method: DFT, GGA-PBE
State: relaxed

a = 7.6329 Å, b = 8.6072 Å, c = 5.1893 Å
α = 90.00°, β = 90.00°, γ = 90.00°
Space group Imm2 (No. 44)
One atom of each set of equivalent atoms:
Al (0.0000, 0.0000, 0.0000) x2
Al (0.0000, 0.2594, 0.2791) x4
Al (0.1687, 0.5000, 0.5226) x4
Ga (0.0000, 0.0000, 0.5196) x2
Ag (0.0000, 0.5000, 0.9737) x2

- Energy relative to the lowest polymorph listed for this composition: 413 meV per atom

***

Number 1: spin magnetization 0.0 μB per formula unit. Number 2: spin magnetization 0.0 μB per formula unit. Number 3: spin magnetization 0.0 μB per formula unit.